HfBOsRh2, relaxed, DFT PBE; energy of formation = -597 meV/atom; SG = P4/mmm, No. 123
1.0
-2.3679 1.3162 -3.1032
2.6711 -1.5806 -2.7086
-2.0758 -3.6032 0.0557
B Os Rh Hf
1 1 2 1
Direct
0.0000 0.0000 0.0000
0.0000 0.0000 0.5000
0.5000 0.0000 0.0000
0.0000 0.5000 0.0000
0.5000 0.5000 0.5000

Hf2BOsRh, relaxed, DFT PBE; energy of formation = -244 meV/atom; SG = P4/mmm, No. 123
1.0
-4.0237 0.2921 2.1365
1.4575 -1.9482 3.0113
1.3024 3.9341 1.9149
Hf Rh Os B
2 1 1 1
Direct
0.5000 0.0000 0.0000
0.0000 0.0000 0.5000
0.0000 0.5000 0.0000
0.5000 0.5000 0.5000
0.0000 0.0000 0.0000

HfBOsRu2, relaxed, DFT PBE; energy of formation = -448 meV/atom; energy above the most stable polymorph in this dataset = 0 meV per atom; SG = P4/mmm, No. 123
1.0
4.1220 0.0000 0.0000
0.0000 4.1220 0.0000
0.0000 0.0000 4.1359
Ru Hf Os B
2 1 1 1
Direct
0.5000 0.0000 0.0000
0.0000 0.5000 0.0000
0.5000 0.5000 0.5000
0.0000 0.0000 0.5000
0.0000 0.0000 0.0000

HfBOsRu2, relaxed, DFT PBE; energy of formation = 2745 meV/atom; energy above the most stable polymorph in this dataset = 3193 meV per atom; SG = P4/mmm, No. 123
1.0
4.7512 0.0000 0.0000
0.0000 4.8738 0.0000
0.0000 0.0000 4.7512
Ru Os Hf B
2 1 1 1
Direct
0.0000 0.0000 0.5000
0.5000 0.0000 0.0000
0.0000 0.5000 0.0000
0.0000 0.0000 0.0000
0.5000 0.5000 0.5000

HfSi2BOs, relaxed, DFT PBE; energy relative to the elements, uncorrected = 1.987 eV/atom; SG = P4/mmm, No. 123
1.0
-1.3505 4.1044 -2.2226
-2.4408 0.9791 3.2911
3.7230 2.3428 2.0642
Os Si B Hf
1 2 1 1
Direct
0.5000 0.5000 0.5000
0.0000 0.0000 0.5000
0.5000 0.0000 0.0000
0.0000 0.5000 0.0000
0.0000 0.0000 0.0000

HfTcBOs2, relaxed, DFT PBE; energy of formation = -289 meV/atom; SG = P4/mmm, No. 123
1.0
-3.5045 2.1742 0.4228
-0.9212 -2.1504 3.4226
2.0243 2.8131 2.3123
Hf Tc Os B
1 1 2 1
Direct
0.5000 0.5000 0.5000
0.0000 0.0000 0.5000
0.0000 0.5000 0.0000
0.5000 0.0000 0.0000
0.0000 0.0000 0.0000

Hf2BP, relaxed, DFT PBE; energy of formation = -863 meV/atom; energy above the most stable polymorph in this dataset = 116 meV per atom; SG = P2_1/m, No. 11
1.0
-1.6886 -1.7689 2.4110
1.4160 -4.2863 -2.1530
4.7770 2.1305 4.9087
Hf B P
4 2 2
Direct
0.2500 0.7949 0.0664
0.7500 0.2118 0.4205
0.2500 0.7882 0.5795
0.7500 0.2051 0.9336
0.2500 0.3387 0.2096
0.7500 0.6613 0.7904
0.2500 0.3628 0.7168
0.7500 0.6372 0.2832

Hf2BP, relaxed, DFT PBE; energy of formation = -979 meV/atom; energy above the most stable polymorph in this dataset = 0 meV per atom; SG = R-3m, No. 166
1.0
-3.3693 -0.8944 0.5545
-0.8760 -1.9044 2.8400
-2.2298 4.0528 4.2235
Hf B P
2 1 1
Direct
0.7586 0.7586 0.7241
0.2414 0.2414 0.2759
0.5000 0.5000 0.5000
0.0000 0.0000 0.0000

Hf2BP, relaxed, DFT PBE; energy of formation = -186 meV/atom; energy above the most stable polymorph in this dataset = 793 meV per atom; SG = Fm-3m, No. 225
1.0
0.0000 3.1273 3.1273
3.1273 0.0000 3.1273
3.1273 3.1273 0.0000
Hf P B
2 1 1
Direct
0.7500 0.7500 0.7500
0.2500 0.2500 0.2500
0.5000 0.5000 0.5000
0.0000 0.0000 0.0000

Hf4BP2, relaxed, DFT PBE; energy of formation = -990 meV/atom; SG = Pbam, No. 55
1.0
-3.6008 0.0044 -0.4794
-0.7801 -2.8005 5.8336
-0.5847 9.4914 4.4782
Hf B P
8 2 4
Direct
0.0000 0.3822 0.2021
0.5000 0.2725 0.9469
0.5000 0.7725 0.5531
0.5000 0.7275 0.0531
0.0000 0.8822 0.2979
0.0000 0.6178 0.7979
0.5000 0.2275 0.4469
0.0000 0.1178 0.7021
0.0000 0.5000 0.0000
0.0000 0.0000 0.5000
0.5000 0.5924 0.3234
0.5000 0.0924 0.1766
0.5000 0.9076 0.8234
0.5000 0.4076 0.6766

HfBP3, relaxed, DFT PBE; energy of formation = 1272 meV/atom; energy above the most stable polymorph in this dataset = 877 meV per atom; SG = Pm-3m, No. 221
1.0
4.9612 0.0000 0.0000
0.0000 4.9612 0.0000
0.0000 0.0000 4.9612
B P Hf
1 3 1
Direct
0.5000 0.5000 0.5000
0.0000 0.5000 0.0000
0.5000 0.0000 0.0000
0.0000 0.0000 0.5000
0.0000 0.0000 0.0000

Hf2BP, relaxed, DFT PBE; energy of formation = -136 meV/atom; energy above the most stable polymorph in this dataset = 844 meV per atom; SG = I-42d, No. 122
1.0
5.6152 0.0000 0.0000
0.0000 5.6152 0.0000
2.8076 2.8076 5.3760
Hf B P
4 2 2
Direct
0.1735 0.6250 0.2500
0.8750 0.8265 0.7500
0.5765 0.1250 0.2500
0.3750 0.4235 0.7500
0.2500 0.7500 0.5000
0.5000 0.5000 0.0000
0.0000 0.0000 0.0000
0.7500 0.2500 0.5000

Hf6BP2, relaxed, DFT PBE; energy of formation = -798 meV/atom; SG = P2_1/c, No. 14
1.0
5.8282 0.0000 0.1528
0.0000 6.6279 0.0000
-0.5021 0.0000 8.4653
P Hf B
4 12 2
Direct
0.4365 0.1237 0.2564
0.9365 0.3763 0.7564
0.5635 0.8763 0.7436
0.0635 0.6237 0.2436
0.3486 0.8163 0.0550
0.3448 0.5314 0.7480
0.8486 0.6837 0.5550
0.6552 0.4686 0.2520
0.1587 0.3215 0.0523
0.3413 0.8215 0.4477
0.1514 0.3163 0.4450
0.8448 0.9686 0.2480
0.1552 0.0314 0.7520
0.6587 0.1785 0.5523
0.8413 0.6785 0.9477
0.6514 0.1837 0.9450
0.5000 0.5000 0.0000
0.0000 0.0000 0.5000

HfBP3, relaxed, DFT PBE; energy of formation = 395 meV/atom; energy above the most stable polymorph in this dataset = 0 meV per atom; SG = Pm-3m, No. 221
1.0
4.1752 0.0000 0.0000
0.0000 4.1752 0.0000
0.0000 0.0000 4.1752
P B Hf
3 1 1
Direct
0.0000 0.0000 0.5000
0.5000 0.0000 0.0000
0.0000 0.5000 0.0000
0.0000 0.0000 0.0000
0.5000 0.5000 0.5000

Hf5B2P, relaxed, DFT PBE; energy of formation = -614 meV/atom; SG = I4/mcm, No. 140
1.0
5.8402 0.0000 -2.7569
-1.3014 5.6934 -2.7569
0.0244 0.0307 7.6162
Hf B P
10 4 2
Direct
0.6912 0.1912 0.7227
0.5314 0.6912 0.7227
0.1912 0.0314 0.7227
0.3088 0.8088 0.2773
0.0314 0.5314 0.7227
0.4686 0.3088 0.2773
0.0000 0.0000 0.0000
0.5000 0.5000 0.0000
0.9686 0.4686 0.2773
0.8088 0.9686 0.2773
0.3885 0.8885 0.0000
0.1115 0.3885 0.0000
0.6115 0.1115 0.0000
0.8885 0.6115 0.0000
0.7500 0.7500 0.5000
0.2500 0.2500 0.5000

Hf3BP, relaxed, DFT PBE; energy of formation = -159 meV/atom; energy above the most stable polymorph in this dataset = 0 meV per atom; SG = Pm-3m, No. 221
1.0
-0.3394 4.2192 1.5180
-2.5543 1.0692 -3.5430
-3.6852 -1.1297 2.3159
B P Hf
1 1 3
Direct
0.0000 0.0000 0.0000
0.5000 0.5000 0.5000
0.5000 0.0000 0.0000
0.0000 0.0000 0.5000
0.0000 0.5000 0.0000

Hf2BPRh, relaxed, DFT PBE; energy of formation = 502 meV/atom; SG = P4/mmm, No. 123
1.0
4.7658 0.0000 0.0000
0.0000 4.2374 0.0000
0.0000 0.0000 4.7658
P Rh Hf B
1 1 2 1
Direct
0.0000 0.0000 0.0000
0.0000 0.5000 0.0000
0.0000 0.0000 0.5000
0.5000 0.0000 0.0000
0.5000 0.5000 0.5000

HfB2PRh, relaxed, DFT PBE; energy of formation = 1543 meV/atom; SG = P4/mmm, No. 123
1.0
-3.5575 -0.6303 2.3397
-2.1855 -1.9598 -3.8511
1.4482 -3.8852 1.1553
P Hf B Rh
1 1 2 1
Direct
0.0000 0.5000 0.0000
0.0000 0.0000 0.0000
0.0000 0.0000 0.5000
0.5000 0.0000 0.0000
0.5000 0.5000 0.5000

HfBPS2, relaxed, DFT PBE; energy relative to the elements, uncorrected = 0.190 eV/atom; energy above the most stable polymorph in this dataset = 0 meV per atom; SG = P4/mmm, No. 123
1.0
-1.3417 1.6548 3.6445
-3.5892 -2.1987 -0.3230
1.7350 -3.1352 2.0623
S P B Hf
2 1 1 1
Direct
0.5000 0.0000 0.0000
0.0000 0.5000 0.0000
0.0000 0.0000 0.5000
0.0000 0.0000 0.0000
0.5000 0.5000 0.5000

HfBPS2, relaxed, DFT PBE; energy relative to the elements, uncorrected = 0.712 eV/atom; energy above the most stable polymorph in this dataset = 522 meV per atom; SG = P4/mmm, No. 123
1.0
4.8965 0.0000 0.0000
0.0000 4.8965 0.0000
0.0000 0.0000 5.0648
S B Hf P
2 1 1 1
Direct
0.5000 0.0000 0.0000
0.0000 0.5000 0.0000
0.5000 0.5000 0.5000
0.0000 0.0000 0.0000
0.0000 0.0000 0.5000

| no. | E (eV per atom) |
| --- | --- |
| 1 | -9.11 |
| 2 | -9.28 |
| 3 | -9.73 |
| 4 | -6.54 |
| 5 | -5.75 |
| 6 | -10.18 |
| 7 | -8.86 |
| 8 | -8.98 |
| 9 | -8.18 |
| 10 | -9.18 |
| 11 | -5.30 |
| 12 | -8.13 |
| 13 | -9.38 |
| 14 | -6.18 |
| 15 | -9.18 |
| 16 | -8.55 |
| 17 | -7.37 |
| 18 | -5.67 |
| 19 | -5.87 |
| 20 | -5.35 |